Record 1
Here is a crystal of KAl2Os relaxed with PBEsol from the Alexandria database. Energies are from meta-GGA SCAN.

Results
The density of states at the Fermi level comes out at 1.58 states/eV per cell. As for the offset from the most stable computed form: 121 meV per atom. Its total magnetization is 0.00 μB per formula unit. For the formation energy, the calculation gives 0.182 eV/atom. For the total energy, the calculation gives -94.98 eV for the cell shown.

Unit cell a=2.999 b=2.999 c=9.932 alpha=81.32 beta=81.32 gamma=60.00
Positions (direct):
Al: 0.269 0.269 0.192
Al: 0.731 0.731 0.808
Os: 0.000 0.000 0.000
K: 0.500 0.500 0.500


Record 2
Here is a crystal of KAl2Os relaxed with PBEsol from the Alexandria database. Energies are from meta-GGA SCAN.

Results
The density of states at the Fermi level comes out at 2.41 states/eV per cell. As for the offset from the most stable computed form: 382 meV per atom. Its total magnetization is 0.00 μB per formula unit. For the formation energy, the calculation gives 0.444 eV/atom. For the total energy, the calculation gives -93.94 eV for the cell shown.

Unit cell a=2.813 b=2.813 c=9.908 alpha=90.00 beta=90.00 gamma=113.11
Positions (direct):
K: 0.000 0.000 0.485
Os: 0.500 0.500 0.210
Al: 0.000 0.000 0.017
Al: 0.500 0.500 0.788


Record 3
Here is a crystal of KAl3Os relaxed with PBEsol from the Alexandria database. Energies are from meta-GGA SCAN.

Results
The density of states at the Fermi level comes out at 3.46 states/eV per cell. Its total magnetization is 1.82 μB per formula unit. For the formation energy, the calculation gives 2.776 eV/atom. For the total energy, the calculation gives -89.58 eV for the cell shown.

Unit cell a=4.773 b=4.773 c=4.773 alpha=90.00 beta=90.00 gamma=90.00
Positions (direct):
Os: 0.500 0.500 0.500
Al: 0.000 0.000 0.500
Al: 0.500 0.000 0.000
Al: 0.000 0.500 0.000
K: 0.000 0.000 0.000


Record 4
Here is a crystal of K3AlOs relaxed with PBEsol from the Alexandria database. Energies are from meta-GGA SCAN.

Results
The density of states at the Fermi level comes out at 2.73 states/eV per cell. Its total magnetization is 3.94 μB per formula unit. For the formation energy, the calculation gives 1.437 eV/atom. For the total energy, the calculation gives -97.43 eV for the cell shown.

Unit cell a=6.018 b=6.018 c=6.018 alpha=90.00 beta=90.00 gamma=90.00
Positions (direct):
K: 0.500 0.000 0.000
K: 0.000 0.000 0.500
K: 0.000 0.500 0.000
Al: 0.500 0.500 0.500
Os: 0.000 0.000 0.000


Record 5
Here is a crystal of KAlP2 relaxed with PBEsol from the Alexandria database. Energies are from meta-GGA SCAN.

Results
The density of states at the Fermi level comes out at 1.68 states/eV per cell. Its total magnetization is 0.00 μB per formula unit. For the formation energy, the calculation gives 0.413 eV/atom. For the total energy, the calculation gives -35.22 eV for the cell shown.

Unit cell a=3.958 b=4.348 c=4.348 alpha=90.00 beta=90.00 gamma=90.00
Positions (direct):
K: 0.500 0.000 0.000
P: 0.000 0.000 0.500
P: 0.000 0.500 0.000
Al: 0.500 0.500 0.500


Record 6
Here is a crystal of KAl2P relaxed with PBEsol from the Alexandria database. Energies are from meta-GGA SCAN.

Results
The density of states at the Fermi level comes out at 1.55 states/eV per cell. Its total magnetization is 0.00 μB per formula unit. For the formation energy, the calculation gives 0.056 eV/atom. For the total energy, the calculation gives -34.01 eV for the cell shown.

Unit cell a=3.300 b=3.308 c=8.713 alpha=90.00 beta=112.23 gamma=90.00
Positions (direct):
Al: 0.663 0.000 0.664
Al: 0.337 0.000 0.336
P: 0.000 0.500 0.500
K: 0.500 0.500 0.000


Record 7
Here is a crystal of KAlP relaxed with PBEsol from the Alexandria database. Energies are from meta-GGA SCAN.

Results
The density of states at the Fermi level comes out at 1.91 states/eV per cell. Its total magnetization is 0.01 μB per formula unit. For the formation energy, the calculation gives 0.872 eV/atom. For the total energy, the calculation gives -23.86 eV for the cell shown.

Unit cell a=4.829 b=4.829 c=4.829 alpha=60.00 beta=60.00 gamma=60.00
Positions (direct):
Al: 0.500 0.500 0.500
K: 0.750 0.750 0.750
P: 0.000 0.000 0.000


Record 8
Here is a crystal of KAl2P relaxed with PBEsol from the Alexandria database. Energies are from meta-GGA SCAN.

Results
The density of states at the Fermi level comes out at 1.77 states/eV per cell. Its total magnetization is 0.00 μB per formula unit. For the formation energy, the calculation gives 0.455 eV/atom. For the total energy, the calculation gives -32.41 eV for the cell shown.

Unit cell a=4.288 b=4.288 c=5.430 alpha=113.25 beta=113.25 gamma=90.00
Positions (direct):
P: 0.000 0.000 0.000
K: 0.500 0.500 0.000
Al: 0.750 0.250 0.500
Al: 0.250 0.750 0.500


Record 9
Here is a crystal of KAlP relaxed with PBEsol from the Alexandria database. Energies are from meta-GGA SCAN.

Results
Its total magnetization is 0.00 μB per formula unit. For the formation energy, the calculation gives -0.613 eV/atom. For the total energy, the calculation gives -56.64 eV for the cell shown.

Unit cell a=3.883 b=5.582 c=7.299 alpha=75.09 beta=74.57 gamma=69.65
Positions (direct):
Al: 0.351 0.754 0.544
Al: 0.649 0.246 0.456
K: 0.068 0.724 0.140
K: 0.932 0.276 0.860
P: 0.707 0.866 0.720
P: 0.293 0.134 0.280


Record 10
Here is a crystal of KAlPPt2 relaxed with PBEsol from the Alexandria database. Energies are from meta-GGA SCAN.

Results
The density of states at the Fermi level comes out at 4.29 states/eV per cell. Its total magnetization is 0.00 μB per formula unit. For the formation energy, the calculation gives 2.363 eV/atom. For the total energy, the calculation gives -155.05 eV for the cell shown.

Unit cell a=4.866 b=4.866 c=4.928 alpha=90.00 beta=90.00 gamma=90.00
Positions (direct):
Pt: 0.000 0.500 0.000
Pt: 0.500 0.000 0.000
Al: 0.000 0.000 0.500
P: 0.500 0.500 0.500
K: 0.000 0.000 0.000


Record 11
Here is a crystal of K2YAlP relaxed with PBEsol from the Alexandria database. Energies are from meta-GGA SCAN.

Results
The density of states at the Fermi level comes out at 3.27 states/eV per cell. Its total magnetization is 1.40 μB per formula unit. For the formation energy, the calculation gives 0.067 eV/atom. For the total energy, the calculation gives -62.31 eV for the cell shown.

Unit cell a=5.290 b=5.993 c=5.993 alpha=90.00 beta=90.00 gamma=90.00
Positions (direct):
Al: 0.500 0.500 0.500
K: 0.000 0.000 0.500
K: 0.000 0.500 0.000
P: 0.000 0.000 0.000
Y: 0.500 0.000 0.000


Record 12
Here is a crystal of KAl2Pb2 relaxed with PBEsol from the Alexandria database. Energies are from meta-GGA SCAN.

Results
The density of states at the Fermi level comes out at 1.30 states/eV per cell. Its total magnetization is 0.00 μB per formula unit. For the formation energy, the calculation gives -0.134 eV/atom. For the total energy, the calculation gives -176.06 eV for the cell shown.

Unit cell a=4.146 b=4.146 c=8.906 alpha=103.46 beta=103.46 gamma=90.00
Positions (direct):
Pb: 0.632 0.632 0.263
Pb: 0.368 0.368 0.737
K: 0.000 0.000 0.000
Al: 0.750 0.250 0.500
Al: 0.250 0.750 0.500